Record 1
MgMn2O4 (PBEsol, optimized geometry); offset from the most stable computed form = 74 meV/atom; total moment = 7.10 μB per cell; density of states at the Fermi level = 3.9 states/eV per cell; energy relative to the elements, uncorrected = -1245 kJ/mol of formula units
1.0
5.074 0.000 0.000
0.000 2.922 0.000
-1.446 0.000 4.948
Mg Mn O
1 2 4
Cartesian
0.000 0.000 0.000
-0.723 1.461 2.474
1.814 0.000 2.474
0.067 0.000 3.466
0.762 1.461 1.275
2.866 1.461 3.673
3.560 0.000 1.482

***

Record 2
Mg2Mn3O7 (PBEsol, optimized geometry); total moment = 18.08 μB per cell; density of states at the Fermi level = 7.6 states/eV per cell; energy relative to the elements, uncorrected = -2300 kJ/mol of formula units
1.0
6.015 0.000 0.000
-1.766 6.156 0.000
-1.142 -3.589 6.663
Mg Mn O
4 6 14
Cartesian
0.188 -0.587 2.896
1.564 1.053 0.251
1.542 1.514 6.413
2.918 3.154 3.767
-1.424 0.984 4.770
-0.068 3.877 0.938
-0.008 3.211 3.834
3.114 -0.644 2.829
3.174 -1.311 5.725
4.530 1.582 1.894
-1.376 3.488 2.473
-0.124 1.998 0.622
-1.480 2.859 5.060
-0.174 1.345 3.353
-0.166 0.625 6.087
1.712 -0.456 1.539
1.753 -1.066 4.112
1.353 3.632 2.551
1.394 3.023 5.124
3.272 1.942 0.576
3.280 1.222 3.310
4.586 -0.292 1.603
3.230 0.568 6.042
4.482 -0.921 4.191

***

Record 3
MgMn3O (PBEsol, optimized geometry); total moment = 12.30 μB per cell; density of states at the Fermi level = 1.9 states/eV per cell; energy relative to the elements, uncorrected = 936 kJ/mol of formula units
1.0
4.634 0.000 0.000
0.000 4.634 0.000
0.000 0.000 4.634
Mg Mn O
1 3 1
Cartesian
0.000 0.000 0.000
0.000 0.000 2.317
0.000 2.317 0.000
2.317 0.000 0.000
2.317 2.317 2.317

***

Record 4
MgMnPO2 (PBEsol, optimized geometry); total moment = 5.03 μB per cell; density of states at the Fermi level = 2.4 states/eV per cell; energy relative to the elements, uncorrected = 2 kJ/mol of formula units
1.0
3.677 0.000 0.000
0.000 3.677 0.000
0.000 0.000 5.608
Mg Mn P O
1 1 1 2
Cartesian
0.000 0.000 0.000
0.000 0.000 2.804
1.839 1.839 2.804
0.000 1.839 0.000
1.839 0.000 0.000

***

Record 5
MgMnP2O7 (PBEsol, optimized geometry); total moment = 10.00 μB per cell; density of states at the Fermi level = 0.0 states/eV per cell; energy relative to the elements, uncorrected = -2363 kJ/mol of formula units
1.0
6.216 0.000 0.000
1.139 6.589 0.000
3.021 0.974 6.248
Mg Mn P O
2 2 4 14
Cartesian
2.551 1.438 2.368
7.825 6.125 3.881
4.997 2.714 4.402
5.379 4.849 1.846
2.198 4.378 1.223
4.827 6.139 4.645
5.549 1.424 1.603
8.178 3.185 5.025
4.419 5.947 6.172
3.575 6.714 3.984
2.964 2.805 3.910
2.321 2.884 1.010
3.485 5.165 1.343
5.194 4.781 4.040
6.053 7.068 4.550
4.323 0.495 1.699
5.182 2.782 2.208
6.890 2.398 4.905
8.055 4.679 5.239
7.411 4.758 2.338
6.801 0.849 2.264
5.956 1.616 0.076

***

Record 6
MgMnPO5 (PBEsol, optimized geometry); total moment = 8.00 μB per cell; energy relative to the elements, uncorrected = -1703 kJ/mol of formula units
1.0
3.352 -4.229 0.000
3.352 4.229 0.000
-2.769 0.000 6.126
Mg Mn P O
2 2 2 10
Cartesian
1.968 2.654 3.063
3.352 -2.654 0.000
2.979 0.118 1.729
1.594 -0.118 4.792
3.759 3.042 0.275
2.375 -3.042 3.338
-0.206 0.009 4.021
1.179 -0.009 0.958
2.930 2.260 1.302
1.915 2.074 5.628
2.309 0.728 3.327
3.693 -0.728 0.264
1.546 -2.260 4.365
4.843 0.358 2.357
3.299 -2.074 2.565
3.459 -0.358 5.420

***

Record 7
MgMn2P2O9 (PBEsol, optimized geometry); total moment = 32.00 μB per cell; density of states at the Fermi level = 5.9 states/eV per cell; energy relative to the elements, uncorrected = -2827 kJ/mol of formula units
1.0
14.277 0.000 0.000
0.000 6.250 0.000
0.000 0.000 6.984
Mg Mn P O
4 8 8 36
Cartesian
3.191 1.563 0.817
3.947 4.688 4.309
10.330 1.563 2.675
11.086 4.688 6.167
0.000 0.000 0.000
0.000 3.125 0.000
1.708 1.563 4.513
5.431 4.688 1.021
7.139 0.000 3.492
7.139 3.125 3.492
8.846 1.563 5.963
12.569 4.688 2.471
1.045 4.688 4.355
2.847 4.688 0.741
4.292 1.563 4.233
6.094 1.563 0.863
8.183 4.688 6.121
9.985 4.688 2.751
11.431 1.563 6.243
13.232 1.563 2.629
0.032 1.563 3.682
0.355 4.688 5.743
0.746 1.563 6.088
2.030 3.378 0.763
2.029 3.506 4.270
2.029 5.870 4.270
2.030 5.998 0.763
3.277 1.563 3.046
3.351 1.563 5.509
3.788 4.688 2.017
3.862 4.688 6.538
5.109 0.253 4.255
5.110 0.381 0.778
5.110 2.744 0.778
5.109 2.873 4.255
6.393 4.688 2.596
6.784 1.563 2.251
7.107 4.688 0.190
7.170 1.563 6.794
7.493 4.688 4.733
7.884 1.563 4.388
9.169 3.378 2.729
9.167 3.506 6.206
9.167 5.870 6.206
9.169 5.998 2.729
10.415 1.563 0.446
10.489 1.563 4.967
10.926 4.688 1.475
11.000 4.688 3.938
12.247 0.253 6.221
12.248 0.381 2.714
12.248 2.744 2.714
12.247 2.873 6.221
13.531 4.688 0.896
13.922 1.563 1.241
14.245 4.688 3.302

***

Record 8
Mg2MnSbO6 (PBEsol, optimized geometry); total moment = 8.00 μB per cell; density of states at the Fermi level = 0.4 states/eV per cell; energy relative to the elements, uncorrected = -1901 kJ/mol of formula units
1.0
5.249 0.000 0.000
0.000 7.435 0.000
-0.463 0.000 5.329
Mg Mn Sb O
4 2 2 12
Cartesian
0.113 1.859 0.389
2.229 5.576 2.511
2.557 1.859 2.818
4.673 5.576 4.940
-0.232 0.000 2.665
-0.232 3.717 2.665
2.625 0.000 0.000
2.625 3.717 0.000
0.292 5.576 3.037
0.495 0.471 4.359
0.495 3.246 4.359
1.641 0.521 1.614
1.641 3.196 1.614
1.873 5.576 0.426
2.912 1.859 4.903
3.145 4.239 3.715
3.145 6.913 3.715
4.291 4.188 0.970
4.291 6.964 0.970
4.494 1.859 2.292

***

Record 9
MgMnSi4O10 (PBEsol, optimized geometry); total moment = 20.00 μB per cell; energy relative to the elements, uncorrected = -3949 kJ/mol of formula units
1.0
7.297 0.000 0.000
0.000 7.297 0.000
0.000 0.000 14.750
Mg Mn Si O
4 4 16 40
Cartesian
1.824 5.473 0.000
1.824 5.473 7.375
5.473 1.824 0.000
5.473 1.824 7.375
1.824 1.824 0.852
1.824 1.824 8.227
5.473 5.473 6.523
5.473 5.473 13.899
0.083 4.308 2.125
0.083 6.637 9.500
0.660 3.731 5.250
0.660 7.214 12.626
2.988 3.731 12.626
2.988 7.214 5.250
3.566 4.308 9.500
3.566 6.637 2.125
3.731 0.660 12.626
3.731 2.988 5.250
4.308 0.083 9.500
4.308 3.566 2.125
6.637 0.083 2.125
6.637 3.566 9.500
7.214 0.660 5.250
7.214 2.988 12.626
0.018 1.384 12.925
0.018 2.264 5.550
0.153 4.859 6.280
0.153 6.086 13.655
0.432 4.080 3.688
0.432 6.865 11.063
1.211 3.802 1.095
1.211 7.143 8.470
1.384 0.018 5.550
1.384 3.630 12.925
2.264 0.018 12.925
2.264 3.630 5.550
2.438 3.802 8.470
2.438 7.143 1.095
3.217 4.080 11.063
3.217 6.865 3.688
3.495 4.859 13.655
3.495 6.086 6.280
3.630 1.384 5.550
3.630 2.264 12.925
3.667 5.032 1.825
3.667 5.913 9.200
3.802 1.211 8.470
3.802 2.438 1.095
4.080 0.432 11.063
4.080 3.217 3.688
4.859 0.153 13.655
4.859 3.495 6.280
5.032 3.667 9.200
5.032 7.279 1.825
5.913 3.667 1.825
5.913 7.279 9.200
6.086 0.153 6.280
6.086 3.495 13.655
6.865 0.432 3.688
6.865 3.217 11.063
7.143 1.211 1.095
7.143 2.438 8.470
7.279 5.032 9.200
7.279 5.913 1.825

***

Record 10
SrMg30MnO32 (PBEsol, optimized geometry); total moment = 5.00 μB per cell; energy relative to the elements, uncorrected = -16404 kJ/mol of formula units
1.0
8.541 0.000 0.000
0.000 8.541 0.000
0.000 0.000 8.524
Sr Mg Mn O
1 30 1 32
Cartesian
0.000 0.000 0.000
0.000 2.189 2.169
0.000 2.189 6.354
0.000 4.271 0.000
0.000 4.271 4.262
0.000 6.353 2.169
0.000 6.353 6.354
2.143 2.143 4.262
2.141 4.271 2.136
2.141 4.271 6.387
2.143 6.398 4.262
2.178 2.178 0.000
2.178 6.364 0.000
2.189 0.000 2.169
2.189 0.000 6.354
4.271 0.000 0.000
4.271 0.000 4.262
4.271 2.141 2.136
4.271 2.141 6.387
4.271 4.271 0.000
4.271 4.271 4.262
4.271 6.400 2.136
4.271 6.400 6.387
6.353 0.000 2.169
6.353 0.000 6.354
6.364 2.178 0.000
6.364 6.364 0.000
6.398 2.143 4.262
6.400 4.271 2.136
6.400 4.271 6.387
6.398 6.398 4.262
0.000 0.000 4.262
0.000 0.000 2.278
0.000 0.000 6.246
0.000 2.225 4.262
0.000 2.305 0.000
0.000 4.271 2.150
0.000 4.271 6.373
0.000 6.236 0.000
0.000 6.316 4.262
2.131 2.131 2.130
2.131 2.131 6.393
2.131 6.410 2.130
2.131 6.410 6.393
2.152 4.271 4.262
2.167 4.271 0.000
2.225 0.000 4.262
2.305 0.000 0.000
4.271 0.000 2.150
4.271 0.000 6.373
4.271 2.152 4.262
4.271 2.167 0.000
4.271 4.271 2.136
4.271 4.271 6.387
4.271 6.374 0.000
4.271 6.390 4.262
6.236 0.000 0.000
6.316 0.000 4.262
6.374 4.271 0.000
6.390 4.271 4.262
6.410 2.131 2.130
6.410 2.131 6.393
6.410 6.410 2.130
6.410 6.410 6.393

***

Record 11
Mg30TiMnO32 (PBEsol, optimized geometry); total moment = 0.99 μB per cell; density of states at the Fermi level = 8.1 states/eV per cell; energy relative to the elements, uncorrected = -16333 kJ/mol of formula units
1.0
8.451 0.000 0.000
0.000 8.451 0.000
0.000 0.000 8.390
Mg Ti Mn O
30 1 1 32
Cartesian
0.000 0.000 0.000
0.000 0.000 4.195
0.000 2.113 2.092
0.000 2.113 6.298
0.000 4.225 0.000
0.000 4.225 4.195
0.000 6.338 2.092
0.000 6.338 6.298
2.107 2.107 4.195
2.107 6.344 4.195
2.113 0.000 2.092
2.113 0.000 6.298
2.110 4.225 2.067
2.110 4.225 6.323
2.132 2.132 0.000
2.132 6.319 0.000
4.225 0.000 0.000
4.225 0.000 4.195
4.225 2.110 2.067
4.225 2.110 6.323
4.225 6.341 2.067
4.225 6.341 6.323
6.319 2.132 0.000
6.319 6.319 0.000
6.338 0.000 2.092
6.338 0.000 6.298
6.341 4.225 2.067
6.341 4.225 6.323
6.344 2.107 4.195
6.344 6.344 4.195
4.225 4.225 4.195
4.225 4.225 0.000
0.000 0.000 2.099
0.000 0.000 6.292
0.000 2.113 0.000
0.000 2.111 4.195
0.000 4.225 2.098
0.000 4.225 6.292
0.000 6.338 0.000
0.000 6.340 4.195
2.087 4.225 0.000
2.091 4.225 4.195
2.113 0.000 0.000
2.111 0.000 4.195
2.118 2.118 2.099
2.118 2.118 6.291
2.118 6.333 2.099
2.118 6.333 6.291
4.225 0.000 2.098
4.225 0.000 6.292
4.225 2.087 0.000
4.225 2.091 4.195
4.225 4.225 2.110
4.225 4.225 6.281
4.225 6.364 0.000
4.225 6.360 4.195
6.333 2.118 2.099
6.333 2.118 6.291
6.333 6.333 2.099
6.333 6.333 6.291
6.338 0.000 0.000
6.340 0.000 4.195
6.364 4.225 0.000
6.360 4.225 4.195